The following is a DFT calculation (PBE) of a relaxed structure of CaLaCr2.

Properties
Formation enthalpy at 0 K   0.4682 eV/atom
Uncorrected energy   -24.30 eV per cell
SG   Imm2 (44)
Polymorph energy (0 for the lowest one)   62 meV per atom

Lattice parameters (Å, degrees): 5.729 5.729 5.410 61.81 61.81 41.36
Each line ends with the local moment (μB).
Fractional positions:
Cr 0.060 0.060 0.940  -3.14
Cr 0.694 0.694 0.806  3.07
Ca 0.275 0.275 0.225  0.00
La 0.471 0.471 0.529  0.07